! AcCe3Pb4 PBE relaxed; values from VASP
&SYSTEM
  ibrav = 0, nat = 16, ntyp = 3
/
ATOMIC_SPECIES
Ac 227.00 Ac.upf
Ce 140.12 Ce.upf
Pb 207.20 Pb.upf
CELL_PARAMETERS angstrom
-3.953 -1.840 4.910
-4.815 -1.160 -4.312
4.147 -12.382 -1.300
ATOMIC_POSITIONS crystal
Ac 0.064 0.252 0.000
Ac 0.564 0.748 0.500
Ce 0.564 0.750 0.000
Ce 0.064 0.750 0.250
Ce 0.564 0.250 0.250
Ce 0.064 0.250 0.500
Ce 0.564 0.250 0.750
Ce 0.064 0.750 0.750
Pb 0.064 0.752 0.000
Pb 0.564 0.250 0.000
Pb 0.064 0.250 0.260
Pb 0.564 0.750 0.240
Pb 0.064 0.750 0.500
Pb 0.564 0.248 0.500
Pb 0.564 0.750 0.760
Pb 0.064 0.250 0.740
! space group	Pmmn
! ΔH_f (0 K)	-290	meV per atom
! raw total energy	-4.883	eV per atom
! V	565.9	Å³ per cell